Model a:
This record from Alexandria describes a relaxed structure of ZrIr3Pt. The functional is PBE.

extended XYZ file:
```
5
Lattice="-4.0457 0.6344 -2.4904 1.7295 -2.7634 -3.5135 -1.9009 -3.8643 2.1037" Properties=species:S:1:pos:R:3 pbc="T T T"
Ir 0.8647 -1.3817 -1.7567
Ir -0.9505 -1.9322 1.0518
Ir -2.0228 0.3172 -1.2452
Zr 0.0000 0.0000 0.0000
Pt -2.1086 -2.9967 -1.9501
```

## Properties
**Size of the total moment**: 1.40 μB/f.u.
**Symmetry**: No. 221
**Crystal system**: cubic


Model b:
This record from Alexandria describes a relaxed structure of ZrIr3Pt. The functional is PBE.

extended XYZ file:
```
5
Lattice="4.7575 0.0000 0.0000 0.0000 4.7575 0.0000 0.0000 0.0000 4.7575" Properties=species:S:1:pos:R:3 pbc="T T T"
Ir 0.0000 2.3787 0.0000
Ir 0.0000 0.0000 2.3787
Ir 2.3787 0.0000 0.0000
Zr 2.3787 2.3787 2.3787
Pt 0.0000 0.0000 0.0000
```

## Properties
**Size of the total moment**: 1.45 μB/f.u.
**Symmetry**: No. 221
**Crystal system**: cubic


In eV/atom, relative to the most stable structure: model a 0.414; model b 0.000.


Model a:
This record from Alexandria describes a relaxed structure of ZrIrPt3. The functional is PBE.

extended XYZ file:
```
5
Lattice="-3.5274 -1.7003 2.7927 3.0806 -0.3518 3.6768 -1.0955 4.4853 1.3471" Properties=species:S:1:pos:R:3 pbc="T T T"
Ir 0.0000 0.0000 0.0000
Zr -0.7712 1.2166 3.9083
Pt 1.5403 -0.1759 1.8384
Pt -0.5477 2.2427 0.6735
Pt -1.7637 -0.8501 1.3964
```

## Properties
**Size of the total moment**: 0.00 μB/f.u.
**Symmetry**: No. 221
**Crystal system**: cubic


Model b:
This record from Alexandria describes a relaxed structure of ZrIrPt3. The functional is PBE.

extended XYZ file:
```
10
Lattice="-2.9408 1.5461 -2.6036 -4.0692 -2.3415 3.2057 5.1032 7.2819 1.9818" Properties=species:S:1:pos:R:3 pbc="T T T"
Zr -3.5680 0.9925 1.1977
Zr 1.6612 5.4940 1.3862
Ir -0.8165 4.7860 0.3427
Ir -1.0902 1.7004 2.2412
Pt -1.0218 -0.5517 0.8265
Pt -0.8850 7.0382 1.7574
Pt -0.3761 4.5011 3.0976
Pt -1.5307 1.9854 -0.5137
Pt 0.8206 2.7650 0.7151
Pt -2.7273 3.7215 1.8688
```

## Properties
**Size of the total moment**: 0.00 μB/f.u.
**Symmetry**: No. 12
**Crystal system**: monoclinic


In eV/atom, relative to the most stable structure: model a 1.494; model b 0.000.


Model a:
This record from Alexandria describes a relaxed structure of Zr4IrPt. The functional is PBE.

extended XYZ file:
```
12
Lattice="-3.7037 1.7391 -5.0226 -4.9896 -3.2469 2.5552 -1.8380 5.3514 3.2109" Properties=species:S:1:pos:R:3 pbc="T T T"
Zr -6.9881 0.2309 -1.0346
Zr -5.3948 4.4824 -0.7332
Zr -2.6418 0.9848 0.1994
Zr -6.0380 1.9889 3.0556
Zr -3.5432 3.6127 1.7782
Zr -5.1365 -0.6388 1.4768
Zr -7.8895 2.8587 0.5441
Zr -4.4933 1.8546 -2.3121
Ir -2.7709 3.5452 -0.9058
Ir -3.4138 1.0522 2.8831
Pt 0.0000 0.0000 0.0000
Pt -4.3467 -0.7539 -1.2337
```

## Properties
**Size of the total moment**: 0.00 μB/f.u.
**Symmetry**: No. 123
**Crystal system**: tetragonal


Model b:
This record from Alexandria describes a relaxed structure of Zr4IrPt. The functional is PBE.

extended XYZ file:
```
12
Lattice="-0.4700 4.9896 -2.4763 -4.8728 1.6174 4.1838 4.4509 2.5103 4.2133" Properties=species:S:1:pos:R:3 pbc="T T T"
Zr 2.1172 1.9237 3.4743
Zr -2.5391 2.2040 4.9228
Zr -0.9195 0.9716 2.1323
Zr 0.4976 3.1561 6.2649
Zr -1.3618 5.4953 5.0216
Zr 0.4699 3.6220 0.8993
Zr -2.7006 3.9796 2.2217
Zr 1.8087 5.1376 3.6992
Ir -0.3284 3.3112 3.5795
Ir -0.5634 5.8060 2.3414
Pt -0.1175 1.2474 -0.6191
Pt -0.3525 3.7422 -1.8572
```

## Properties
**Size of the total moment**: 0.00 μB/f.u.
**Symmetry**: No. 124
**Crystal system**: tetragonal


In eV/atom, relative to the most stable structure: model a 0.178; model b 0.000.


Model a:
This record from Alexandria describes a relaxed structure of Zr2Ir2Pt. The functional is PBE.

extended XYZ file:
```
10
Lattice="-0.1819 -0.8900 -7.7116 0.2622 -7.7100 0.8837 -3.0867 -0.0954 0.0838" Properties=species:S:1:pos:R:3 pbc="T T T"
Ir -1.4014 -5.0564 -0.4323
Ir -1.4316 -7.2877 -4.0833
Ir -1.6048 -3.6390 -6.3118
Ir -1.5747 -1.4076 -2.6608
Zr 0.1584 -6.7678 -1.8708
Zr 0.0209 -5.8451 -5.8833
Zr -0.0780 -1.8322 -4.9571
Zr 0.0595 -2.7549 -0.9446
Pt 0.0000 0.0000 0.0000
Pt 0.0402 -4.3000 -3.4139
```

## Properties
**Size of the total moment**: 0.00 μB/f.u.
**Symmetry**: No. 127
**Crystal system**: tetragonal


Model b:
This record from Alexandria describes a relaxed structure of Zr2Ir2Pt. The functional is PBE.

extended XYZ file:
```
10
Lattice="7.2817 0.0000 0.0000 0.0000 7.2817 0.0000 0.0000 0.0000 3.4459" Properties=species:S:1:pos:R:3 pbc="T T T"
Ir 2.6674 6.3083 0.0000
Ir 6.3083 4.6143 0.0000
Ir 4.6143 0.9734 0.0000
Ir 0.9734 2.6674 0.0000
Zr 1.2296 4.8705 1.7230
Zr 4.8705 6.0521 1.7230
Zr 6.0521 2.4113 1.7230
Zr 2.4113 1.2296 1.7230
Pt 0.0000 0.0000 0.0000
Pt 3.6409 3.6409 0.0000
```

## Properties
**Size of the total moment**: 0.00 μB/f.u.
**Symmetry**: No. 127
**Crystal system**: tetragonal


In eV/atom, relative to the most stable structure: model a 0.223; model b 0.000.


Model a:
This record from Alexandria describes a relaxed structure of Pu3Ir2Rh. The functional is PBE.

extended XYZ file:
```
12
Lattice="-4.1785 -0.3004 2.4490 -0.2546 -5.9260 -5.9626 6.1659 0.0067 5.7198" Properties=species:S:1:pos:R:3 pbc="T T T"
Pu 1.8072 -5.1162 0.0615
Pu 4.9840 -3.9610 0.8158
Pu -2.2166 -3.1132 -1.7568
Pu -0.0745 -1.1035 2.1448
Pu 3.0830 0.0034 2.8599
Pu -3.2513 -2.2586 1.3904
Ir 4.5891 -0.5601 5.3637
Ir 0.3351 -4.4910 -2.3766
Ir -2.8563 -5.6596 -3.1575
Ir 1.3977 -1.7287 4.5829
Rh 2.4136 -2.5704 1.4053
Rh -0.6808 -3.6493 0.8010
```

## Properties
**Size of the total moment**: 14.35 μB/f.u.
**Symmetry**: No. 15
**Crystal system**: monoclinic


Model b:
This record from Alexandria describes a relaxed structure of Pu3Ir2Rh. The functional is PBE.

extended XYZ file:
```
6
Lattice="-2.6493 -1.0358 -0.5765 0.8527 -2.6456 0.8352 -3.9574 2.8494 13.0654" Properties=species:S:1:pos:R:3 pbc="T T T"
Pu 0.0000 0.0000 0.0000
Pu -0.7102 0.5114 2.3447
Pu -3.2472 2.3380 10.7206
Ir -2.1650 -0.9287 4.3115
Ir -3.5890 0.0966 9.0126
Rh -2.8770 -0.4160 6.6620
```

## Properties
**Size of the total moment**: 2.92 μB/f.u.
**Symmetry**: No. 123
**Crystal system**: tetragonal


In eV/atom, relative to the most stable structure: model a 0.000; model b 0.886.


Model a:
This record from Alexandria describes a relaxed structure of Pu4IrRh. The functional is PBE.

extended XYZ file:
```
6
Lattice="5.0884 0.1334 0.0338 -0.1415 5.3748 1.5662 -0.0745 1.8951 5.2710" Properties=species:S:1:pos:R:3 pbc="T T T"
Pu 2.4035 5.2714 3.1724
Pu 2.4817 2.0947 3.6717
Pu -0.1065 3.4624 5.0004
Pu -0.0943 3.7730 1.8074
Ir -0.1728 6.3053 4.1867
Rh 2.4077 4.6304 6.0582
```

## Properties
**Size of the total moment**: 21.11 μB/f.u.
**Symmetry**: No. 12
**Crystal system**: monoclinic


Model b:
This record from Alexandria describes a relaxed structure of Pu4IrRh. The functional is PBE.

extended XYZ file:
```
6
Lattice="-2.2227 -4.1824 0.5321 2.2475 -0.6680 4.1495 -5.0505 3.1451 3.1855" Properties=species:S:1:pos:R:3 pbc="T T T"
Pu -1.2434 -1.6400 3.1393
Pu 0.9849 0.1118 4.9425
Pu -6.0106 -1.8171 2.9246
Pu -3.7824 -0.0653 4.7278
Ir -1.1113 -2.0912 0.2660
Rh -1.4015 1.2386 3.6675
```

## Properties
**Size of the total moment**: 22.21 μB/f.u.
**Symmetry**: No. 12
**Crystal system**: monoclinic


In eV/atom, relative to the most stable structure: model a 0.000; model b 0.031.


Model a:
This record from Alexandria describes a relaxed structure of PuIrRh. The functional is PBE.

extended XYZ file:
```
12
Lattice="6.2620 0.0000 0.0000 0.0000 6.2620 0.0000 0.0000 0.0000 6.2620" Properties=species:S:1:pos:R:3 pbc="T T T"
Ir 3.3175 3.3175 3.3175
Ir 6.0756 2.9446 0.1865
Ir 0.1865 6.0756 2.9446
Ir 2.9446 0.1865 6.0756
Rh 1.8246 1.8246 1.8246
Rh 1.3064 4.4374 4.9556
Rh 4.9556 1.3064 4.4374
Rh 4.4374 4.9556 1.3064
Pu 0.1569 0.1569 0.1569
Pu 2.9742 6.1052 3.2879
Pu 3.2879 2.9742 6.1052
Pu 6.1052 3.2879 2.9742
```

## Properties
**Size of the total moment**: 3.74 μB/f.u.
**Symmetry**: No. 198
**Crystal system**: cubic


Model b:
This record from Alexandria describes a relaxed structure of PuIrRh. The functional is PBE.

extended XYZ file:
```
3
Lattice="3.1380 0.0000 0.0000 0.0000 4.5053 0.0000 0.0000 -2.2526 3.9017" Properties=species:S:1:pos:R:3 pbc="T T T"
Ir 0.5230 0.0000 0.0000
Rh 0.5230 0.0000 2.6011
Pu 2.0920 2.2526 1.3006
```

## Properties
**Size of the total moment**: 4.49 μB/f.u.
**Symmetry**: No. 187
**Crystal system**: hexagonal


Model c:
This record from Alexandria describes a relaxed structure of PuIrRh. The functional is PBE.

extended XYZ file:
```
6
Lattice="-5.3314 0.2856 -0.3391 -2.9899 -0.4760 4.4062 -2.5822 4.2454 1.9722" Properties=species:S:1:pos:R:3 pbc="T T T"
Pu -6.7544 1.6624 2.0932
Pu -4.1490 2.3926 3.9461
Ir 0.0000 0.0000 0.0000
Ir -2.6657 0.1428 -0.1695
Rh -4.1606 -0.0952 2.0336
Rh -3.9568 2.2655 0.8166
```

## Properties
**Size of the total moment**: 4.80 μB/f.u.
**Symmetry**: No. 74
**Crystal system**: orthorhombic


Model d:
This record from Alexandria describes a relaxed structure of PuIrRh. The functional is PBE.

extended XYZ file:
```
3
Lattice="-2.1400 -2.8085 0.0670 1.6134 -1.1597 2.9195 -2.5521 4.1873 0.9377" Properties=species:S:1:pos:R:3 pbc="T T T"
Ir -0.9071 -1.4803 2.0492
Rh -1.5921 1.2459 1.3747
Pu -2.8135 0.0116 3.6953
```

## Properties
**Size of the total moment**: 3.99 μB/f.u.
**Symmetry**: No. 107
**Crystal system**: tetragonal


In eV/atom, relative to the most stable structure: model a 0.519; model b 0.290; model c 0.000; model d 0.382.


Model a:
This record from Alexandria describes a relaxed structure of Pu6IrRu2. The functional is PBE.

extended XYZ file:
```
9
Lattice="-0.4479 2.9548 -3.8430 1.6960 -5.1581 -1.0801 -7.9888 0.8634 1.5949" Properties=species:S:1:pos:R:3 pbc="T T T"
Pu -6.5074 -1.4197 -0.3332
Pu -0.2332 0.0798 -2.9950
Pu -1.4400 -0.0818 0.1049
Pu -2.6468 0.6101 -2.3060
Pu -5.3007 -1.2580 -3.4331
Pu -4.0938 -1.9499 -1.0222
Ir -3.9944 0.4317 0.7975
Ru -5.3220 1.0426 -1.6617
Ru -1.4186 -2.3824 -1.6665
```

## Properties
**Size of the total moment**: 10.01 μB/f.u.
**Symmetry**: No. 12
**Crystal system**: monoclinic


Model b:
This record from Alexandria describes a relaxed structure of Pu6IrRu2. The functional is PBE.

extended XYZ file:
```
9
Lattice="-0.0082 -1.4437 -2.4230 -2.3737 -6.3382 3.7845 -5.2062 4.9445 -2.9286" Properties=species:S:1:pos:R:3 pbc="T T T"
Pu -4.9877 -1.0421 0.3524
Pu -1.7819 1.5658 -1.2123
Pu -6.0186 2.6508 -1.8445
Pu -2.6003 -1.7953 -1.9195
Pu -5.8062 -4.4032 -0.3548
Pu -1.5694 -5.4882 0.2774
Ir -0.0041 -0.7219 -1.2115
Ru -3.3219 -3.2996 0.3345
Ru -4.2661 0.4623 -1.9016
```

## Properties
**Size of the total moment**: 0.00 μB/f.u.
**Symmetry**: No. 162
**Crystal system**: trigonal


In eV/atom, relative to the most stable structure: model a 0.000; model b 0.125.


Model a:
This record from Alexandria describes a relaxed structure of Pu2IrSe. The functional is PBE.

extended XYZ file:
```
4
Lattice="4.0264 0.0000 0.0000 2.0132 3.4870 0.0000 2.0132 1.1623 6.9127" Properties=species:S:1:pos:R:3 pbc="T T T"
Ir 0.0000 0.0000 0.0000
Se 4.0264 2.3247 3.4564
Pu 2.0132 1.1623 1.5782
Pu 6.0396 3.4870 5.3345
```

## Properties
**Size of the total moment**: 10.54 μB/f.u.
**Symmetry**: No. 166
**Crystal system**: trigonal


Model b:
This record from Alexandria describes a relaxed structure of Pu2IrSe. The functional is PBE.

extended XYZ file:
```
4
Lattice="-2.8558 1.2824 1.4824 1.1155 -1.0907 3.0925 3.3479 6.2879 1.0101" Properties=species:S:1:pos:R:3 pbc="T T T"
Ir -0.8702 0.0958 2.2875
Se 0.8038 3.2398 2.7925
Pu 2.5604 4.8088 0.7725
Pu 0.7875 1.4791 0.2376
```

## Properties
**Size of the total moment**: 10.48 μB/f.u.
**Symmetry**: No. 123
**Crystal system**: tetragonal


In eV/atom, relative to the most stable structure: model a 0.000; model b 0.083.


Model a:
This record from Alexandria describes a relaxed structure of SrPu2Ir. The functional is PBE.

extended XYZ file:
```
4
Lattice="3.5514 0.0000 0.0000 0.0000 3.5514 0.0000 0.0000 0.0000 9.2114" Properties=species:S:1:pos:R:3 pbc="T T T"
Sr 1.7757 1.7757 4.6057
Ir 1.7757 1.7757 0.0000
Pu 0.0000 0.0000 7.6571
Pu 0.0000 0.0000 1.5543
```

## Properties
**Size of the total moment**: 11.31 μB/f.u.
**Symmetry**: No. 123
**Crystal system**: tetragonal


Model b:
This record from Alexandria describes a relaxed structure of SrPu2Ir. The functional is PBE.

extended XYZ file:
```
4
Lattice="4.0747 0.0000 0.0000 2.0373 3.5288 0.0000 2.0373 1.1763 9.3178" Properties=species:S:1:pos:R:3 pbc="T T T"
Sr 4.0747 2.3525 4.6589
Ir 0.0000 0.0000 0.0000
Pu 2.0373 1.1763 1.4658
Pu 6.1120 3.5288 7.8520
```

## Properties
**Size of the total moment**: 11.20 μB/f.u.
**Symmetry**: No. 166
**Crystal system**: trigonal


In eV/atom, relative to the most stable structure: model a 0.021; model b 0.000.


Model a:
This record from Alexandria describes a relaxed structure of PuThIr. The functional is PBE.

extended XYZ file:
```
3
Lattice="-1.8314 -0.2625 -4.5170 -1.0461 -4.3460 -1.9607 -4.6515 -1.3170 -0.6749" Properties=species:S:1:pos:R:3 pbc="T T T"
Ir -1.8822 -1.4814 -1.7882
Th -3.7645 -2.9628 -3.5763
Pu 0.0000 0.0000 0.0000
```

## Properties
**Size of the total moment**: 6.25 μB/f.u.
**Symmetry**: No. 216
**Crystal system**: cubic


Model b:
This record from Alexandria describes a relaxed structure of PuThIr. The functional is PBE.

extended XYZ file:
```
12
Lattice="5.7388 -0.0764 -0.0650 1.7163 7.4787 0.2046 1.7201 1.7515 7.2727" Properties=species:S:1:pos:R:3 pbc="T T T"
Pu 8.4321 6.9005 7.0511
Pu 2.4618 6.8681 4.1010
Pu 0.7430 2.2533 0.3611
Pu 6.7133 2.2857 3.3113
Ir 2.7514 4.1490 4.8243
Ir 2.7493 7.0141 1.2909
Ir 6.4237 5.0048 2.5880
Ir 6.4258 2.1396 6.1214
Th 5.4482 4.8684 5.4064
Th 5.4463 7.7336 1.8719
Th 3.7269 4.2854 2.0059
Th 3.7288 1.4202 5.5404
```

## Properties
**Size of the total moment**: 5.78 μB/f.u.
**Symmetry**: No. 11
**Crystal system**: monoclinic


In eV/atom, relative to the most stable structure: model a 0.105; model b 0.000.